This record from Alexandria describes a relaxed structure of LaEuSe2. The functional is PBE.

Unit cell a=4.301 b=4.301 c=7.510 alpha=73.36 beta=73.36 gamma=60.00
Site moments in Bohr magnetons follow the coordinates.
Fractional coordinates of all 4 atoms:
Eu 0.500 0.500 0.500  6.81
Se 0.249 0.249 0.252  -0.03
Se 0.751 0.751 0.748  -0.03
La 0.000 0.000 0.000  0.01

Calculated values
For the formation energy (no corrections), the calculation gives -2.006 eV per atom. As for the space group: R-3m. The value obtained for the total moment is 7.0 μB/cell.

***

This record from Alexandria describes a relaxed structure of LaEu2Si. The functional is PBE.

Unit cell a=3.685 b=3.685 c=11.627 alpha=80.88 beta=80.88 gamma=60.00
Site moments in Bohr magnetons follow the coordinates.
Fractional coordinates of all 4 atoms:
La 0.000 0.000 0.000  0.16
Si 0.500 0.500 0.500  -0.03
Eu 0.895 0.895 0.315  6.89
Eu 0.105 0.105 0.685  6.89

Calculated values
For the formation energy (no corrections), the calculation gives 0.044 eV per atom. As for the space group: R-3m. The value obtained for the total moment is 14.8 μB/cell.

***

This record from Alexandria describes a relaxed structure of LaSm2Eu. The functional is PBE.

Unit cell a=3.721 b=3.721 c=10.476 alpha=90.00 beta=90.00 gamma=90.00
Site moments in Bohr magnetons follow the coordinates.
Fractional coordinates of all 4 atoms:
La 0.500 0.500 0.000  0.03
Eu 0.500 0.500 0.500  -6.97
Sm 0.000 0.000 0.760  -0.08
Sm 0.000 0.000 0.240  -0.08

Calculated values
The formation energy comes out at 0.05 eV per atom. As for the space group: P4/mmm. The value obtained for the total moment is 7.8 μB/cell.

***

This record from Alexandria describes a relaxed structure of La2SmEu. The functional is PBE.

Unit cell a=5.198 b=5.315 c=5.315 alpha=90.00 beta=90.00 gamma=90.00
Site moments in Bohr magnetons follow the coordinates.
Fractional coordinates of all 4 atoms:
La 0.000 0.000 0.500  0.04
La 0.000 0.500 0.000  0.04
Eu 0.500 0.500 0.500  6.87
Sm 0.500 0.000 0.000  0.02

Calculated values
The formation energy comes out at 0.06 eV per atom. As for the space group: P4/mmm. The value obtained for the total moment is 7.4 μB/cell.

***

This record from Alexandria describes a relaxed structure of La2SmEu. The functional is PBE.

Unit cell a=5.952 b=5.952 c=5.952 alpha=60.00 beta=60.00 gamma=60.00
Site moments in Bohr magnetons follow the coordinates.
Fractional coordinates of all 4 atoms:
La 0.250 0.250 0.250  0.18
La 0.750 0.750 0.750  0.18
Sm 0.500 0.500 0.500  0.15
Eu 0.000 0.000 0.000  6.91

Calculated values
The formation energy comes out at 0.12 eV per atom. As for the space group: Fm-3m. The value obtained for the total moment is 8.3 μB/cell.

***

This record from Alexandria describes a relaxed structure of LaSm2Eu. The functional is PBE.

Unit cell a=5.903 b=5.903 c=5.903 alpha=60.00 beta=60.00 gamma=60.00
Site moments in Bohr magnetons follow the coordinates.
Fractional coordinates of all 4 atoms:
Sm 0.250 0.250 0.250  0.14
Sm 0.750 0.750 0.750  0.14
Eu 0.000 0.000 0.000  6.89
La 0.500 0.500 0.500  0.15

Calculated values
The formation energy comes out at 0.15 eV per atom. As for the space group: Fm-3m. The value obtained for the total moment is 8.1 μB/cell.

***

This record from Alexandria describes a relaxed structure of La2SmEu. The functional is PBE.

Unit cell a=3.761 b=3.761 c=10.514 alpha=90.00 beta=90.00 gamma=90.00
Site moments in Bohr magnetons follow the coordinates.
Fractional coordinates of all 4 atoms:
Sm 0.500 0.500 0.000  -0.09
Eu 0.500 0.500 0.500  6.98
La 0.000 0.000 0.237  0.05
La 0.000 0.000 0.763  0.05

Calculated values
The formation energy comes out at 0.04 eV per atom. As for the space group: P4/mmm. The value obtained for the total moment is 7.5 μB/cell.

***

This record from Alexandria describes a relaxed structure of La2SmEu. The functional is PBE.

Unit cell a=3.651 b=3.651 c=13.152 alpha=82.02 beta=82.02 gamma=60.00
Site moments in Bohr magnetons follow the coordinates.
Fractional coordinates of all 4 atoms:
Sm 0.500 0.500 0.500  0.00
La 0.090 0.090 0.730  0.03
La 0.910 0.910 0.270  0.03
Eu 0.000 0.000 0.000  7.05

Calculated values
The formation energy comes out at 0.12 eV per atom. As for the space group: R-3m. The value obtained for the total moment is 7.6 μB/cell.

***

This record from Alexandria describes a relaxed structure of LaSm2Eu. The functional is PBE.

Unit cell a=5.270 b=5.221 c=5.221 alpha=90.00 beta=90.00 gamma=90.00
Site moments in Bohr magnetons follow the coordinates.
Fractional coordinates of all 4 atoms:
La 0.500 0.500 0.500  0.02
Sm 0.000 0.000 0.500  0.01
Sm 0.000 0.500 0.000  0.01
Eu 0.500 0.000 0.000  6.85

Calculated values
The formation energy comes out at 0.07 eV per atom. As for the space group: P4/mmm. The value obtained for the total moment is 7.3 μB/cell.

***

This record from Alexandria describes a relaxed structure of LaSm2Eu. The functional is PBE.

Unit cell a=3.572 b=3.572 c=13.170 alpha=82.21 beta=82.21 gamma=60.00
Site moments in Bohr magnetons follow the coordinates.
Fractional coordinates of all 4 atoms:
Sm 0.912 0.912 0.263  0.08
Sm 0.088 0.088 0.737  0.08
La 0.000 0.000 0.000  -0.01
Eu 0.500 0.500 0.500  7.01

Calculated values
The formation energy comes out at 0.20 eV per atom. As for the space group: R-3m. The value obtained for the total moment is 7.8 μB/cell.

***

This record from Alexandria describes a relaxed structure of SrLaSmEu. The functional is PBE.

Unit cell a=6.126 b=6.126 c=6.126 alpha=60.00 beta=60.00 gamma=60.00
Site moments in Bohr magnetons follow the coordinates.
Fractional coordinates of all 4 atoms:
Sr 0.250 0.250 0.250  0.01
Sm 0.750 0.750 0.750  0.01
La 0.500 0.500 0.500  0.03
Eu 0.000 0.000 0.000  6.88

Calculated values
The formation energy comes out at 0.18 eV per atom. As for the space group: F-43m. The value obtained for the total moment is 7.3 μB/cell.

***

This record from Alexandria describes a relaxed structure of LaTbSmEu. The functional is PBE.

Unit cell a=5.871 b=5.871 c=5.871 alpha=60.00 beta=60.00 gamma=60.00
Site moments in Bohr magnetons follow the coordinates.
Fractional coordinates of all 4 atoms:
Eu 0.000 0.000 0.000  6.88
Sm 0.750 0.750 0.750  0.14
Tb 0.500 0.500 0.500  0.18
La 0.250 0.250 0.250  0.15

Calculated values
The formation energy comes out at 0.14 eV per atom. As for the space group: F-43m. The value obtained for the total moment is 8.0 μB/cell.